Entry 1:
A relaxed CeZrZnPt crystal. Source: Alexandria, functional GGA-PBE.

Its calculated density is 9.7 g/cm³. As for the formation enthalpy at 0 K: -1.87 eV per formula unit.

The space group is F-43m (No. 216) and the conventional cell measures 6.9585, 6.9585 and 6.9585 Å, with angles of 90.00, 90.00 and 90.00 degrees. Symmetry generates all atoms from Ce at (0.0000, 0.0000, 0.0000), Zr at (0.0000, 0.0000, 0.5000), Zn at (0.2500, 0.2500, 0.2500) and Pt at (0.2500, 0.2500, 0.7500).

Entry 2:
A relaxed Ba2LiZn16 crystal. Source: Alexandria, functional GGA-PBE.

Its calculated density is 6.3 g/cm³. As for the formation enthalpy at 0 K: -3.05 eV per formula unit.

The space group is R3m (No. 160, hexagonal axes) and the conventional cell measures 9.3867, 9.3867 and 13.7087 Å, with angles of 90.00, 90.00 and 120.00 degrees. Symmetry generates all atoms from Ba at (0.0000, 0.0000, 0.0000), Ba at (0.0000, 0.0000, 0.3152), Li at (0.0000, 0.0000, 0.5630), Zn at (0.0000, 0.0000, 0.7589), Zn at (0.9999, 0.2810, 0.6561), Zn at (0.0016, 0.5008, 0.1566), Zn at (0.0038, 0.5019, 0.4998) and Zn at (0.1693, 0.3385, 0.1468).

Entry 3:
A relaxed Sr3In2N4 crystal. Source: Alexandria, functional GGA-PBE.

The uncorrected formation energy comes out at -343 meV per atom. Its calculated density is 5.5 g/cm³.

The space group is C2/c (No. 15) and the conventional cell measures 11.5809, 9.2183 and 6.1695 Å, with angles of 90.00, 90.77 and 90.00 degrees. Symmetry generates all atoms from Sr at (0.0000, 0.1030, 0.2500), Sr at (0.1142, 0.3628, 0.5540), In at (0.2044, 0.1187, 0.8988), N at (0.1125, 0.3277, 0.0096) and N at (0.1551, 0.0868, 0.5564).

Entry 4:
A relaxed Hf3Cd2Hg2 crystal. Source: Alexandria, functional GGA-PBE.

Its calculated density is 12.3 g/cm³. As for the formation enthalpy at 0 K: -0.18 eV per formula unit.

The space group is Cmmm (No. 65) and the conventional cell measures 3.1418, 31.3645 and 3.1931 Å, with angles of 90.00, 90.00 and 90.00 degrees. Symmetry generates all atoms from Hf at (0.0000, 0.0000, 0.0000), Hf at (0.0000, 0.4307, 0.5000), Cd at (0.0000, 0.2907, 0.5000) and Hg at (0.0000, 0.1382, 0.0000).